Mn2TlN, relaxed, DFT PBE-GGA; E_form (uncorrected) = 1.72 eV/atom
1.0
0.000 2.966 2.966
2.966 0.000 2.966
2.966 2.966 0.000
Tl Mn N
1 2 1
Direct
0.500 0.500 0.500
0.250 0.250 0.250
0.750 0.750 0.750
0.000 0.000 0.000

***

MnTlN2, relaxed, DFT PBE-GGA; E_form (uncorrected) = 0.12 eV/atom
1.0
5.604 0.000 0.000
0.000 5.604 0.000
2.802 2.802 4.008
Tl Mn N
2 2 4
Direct
0.000 0.000 0.000
0.750 0.250 0.500
0.500 0.500 0.000
0.250 0.750 0.500
0.428 0.125 0.250
0.322 0.625 0.250
0.375 0.572 0.750
0.875 0.678 0.750

***

MnTl3N, relaxed, DFT PBE-GGA; E_form (uncorrected) = 1.20 eV/atom
1.0
5.209 0.000 0.000
0.000 5.209 0.000
0.000 0.000 5.209
Tl Mn N
3 1 1
Direct
0.000 0.500 0.000
0.000 0.000 0.500
0.500 0.000 0.000
0.000 0.000 0.000
0.500 0.500 0.500

***

MnTlN2, relaxed, DFT PBE-GGA; E_form (uncorrected) = 0.41 eV/atom
1.0
0.563 -3.212 6.034
-0.439 -5.397 4.210
2.502 -4.729 4.291
Tl Mn N
1 1 2
Direct
0.000 0.000 0.000
0.500 0.500 0.500
0.882 0.882 0.882
0.118 0.118 0.118

***

Mn2TlN, relaxed, DFT PBE-GGA; E_form (uncorrected) = 0.18 eV/atom
1.0
-3.673 4.797 -0.826
-4.852 -3.528 1.091
-4.060 1.336 3.304
Tl Mn N
2 4 2
Direct
0.000 0.000 0.000
0.750 0.250 0.500
0.481 0.125 0.250
0.269 0.625 0.250
0.375 0.519 0.750
0.875 0.731 0.750
0.500 0.500 0.000
0.250 0.750 0.500

***

MnTl3N, relaxed, DFT PBE-GGA; E_form (uncorrected) = 1.45 eV/atom
1.0
4.865 0.000 0.000
0.000 4.865 0.000
0.000 0.000 4.865
Tl Mn N
3 1 1
Direct
0.000 0.500 0.000
0.000 0.000 0.500
0.500 0.000 0.000
0.500 0.500 0.500
0.000 0.000 0.000

***

MnTlN3, relaxed, DFT PBE-GGA; E_form (uncorrected) = 1.07 eV/atom
1.0
-2.318 2.321 1.916
0.047 -2.390 2.952
3.009 1.825 1.429
Tl Mn N
1 1 3
Direct
0.500 0.500 0.500
0.000 0.000 0.000
0.000 0.500 0.000
0.000 0.000 0.500
0.500 0.000 0.000

***

Mn2TlVN, relaxed, DFT PBE-GGA; E_form (uncorrected) = 1.16 eV/atom
1.0
4.517 0.000 0.000
0.000 4.517 0.000
0.000 0.000 3.746
N Tl Mn V
1 1 2 1
Direct
0.000 0.000 0.500
0.500 0.500 0.500
0.000 0.500 0.000
0.500 0.000 0.000
0.000 0.000 0.000

***

Y2MnTlN, relaxed, DFT PBE-GGA; E_form (uncorrected) = -0.63 eV/atom
1.0
-1.014 -1.947 -4.552
1.988 -4.415 1.445
-3.364 -1.113 1.226
Y Tl Mn N
2 1 1 1
Direct
0.000 0.500 0.000
0.500 0.000 0.000
0.500 0.500 0.500
0.000 0.000 0.500
0.000 0.000 0.000

***

YMn2TlN, relaxed, DFT PBE-GGA; E_form (uncorrected) = -0.22 eV/atom
1.0
4.266 0.000 0.000
0.000 4.714 0.000
0.000 0.000 4.266
Y Tl Mn N
1 1 2 1
Direct
0.000 0.500 0.000
0.500 0.500 0.500
0.000 0.000 0.500
0.500 0.000 0.000
0.000 0.000 0.000

***

Tm3Mn5N12, relaxed, DFT PBE-GGA; E_form (uncorrected) = -0.50 eV/atom
1.0
-0.939 10.160 -2.449
-2.277 -5.850 -8.408
-6.625 -2.346 7.792
Tm Mn N
12 20 48
Direct
0.750 0.375 0.125
0.875 0.750 0.125
0.375 0.750 0.625
0.250 0.125 0.375
0.875 0.125 0.250
0.375 0.625 0.250
0.625 0.375 0.750
0.125 0.875 0.750
0.750 0.875 0.625
0.625 0.250 0.375
0.125 0.250 0.875
0.250 0.625 0.875
0.125 0.375 0.250
0.000 0.500 0.000
0.000 0.000 0.000
0.375 0.250 0.125
0.500 0.000 0.500
0.500 0.500 0.000
0.125 0.750 0.375
0.750 0.125 0.875
0.750 0.625 0.375
0.375 0.125 0.750
0.625 0.875 0.250
0.500 0.500 0.500
0.500 0.000 0.000
0.000 0.000 0.500
0.250 0.375 0.625
0.250 0.875 0.125
0.000 0.500 0.500
0.875 0.250 0.625
0.625 0.750 0.875
0.875 0.625 0.750
0.702 0.115 0.015
0.313 0.515 0.400
0.985 0.385 0.298
0.515 0.202 0.115
0.587 0.702 0.687
0.985 0.600 0.187
0.313 0.798 0.413
0.100 0.913 0.115
0.600 0.985 0.687
0.702 0.587 0.187
0.798 0.485 0.385
0.813 0.900 0.015
0.115 0.702 0.515
0.385 0.400 0.087
0.087 0.900 0.385
0.413 0.115 0.600
0.087 0.187 0.202
0.485 0.687 0.100
0.813 0.913 0.298
0.115 0.413 0.100
0.385 0.985 0.798
0.600 0.615 0.413
0.900 0.813 0.515
0.798 0.313 0.913
0.400 0.385 0.587
0.100 0.187 0.485
0.202 0.687 0.087
0.187 0.087 0.702
0.615 0.015 0.202
0.885 0.587 0.900
0.515 0.313 0.900
0.587 0.885 0.400
0.913 0.813 0.798
0.913 0.100 0.615
0.885 0.298 0.485
0.187 0.100 0.985
0.615 0.600 0.913
0.400 0.015 0.313
0.298 0.413 0.813
0.202 0.515 0.615
0.900 0.087 0.885
0.687 0.202 0.587
0.485 0.798 0.885
0.015 0.400 0.813
0.413 0.298 0.313
0.015 0.615 0.702
0.687 0.485 0.600
0.298 0.885 0.985

***

Tm2MnN, relaxed, DFT PBE-GGA; E_form (uncorrected) = -0.40 eV/atom
1.0
-3.017 -0.838 -1.068
-1.140 -3.065 0.501
-4.675 1.129 7.192
Tm Mn N
2 1 1
Direct
0.114 0.114 0.658
0.886 0.886 0.342
0.000 0.000 0.000
0.500 0.500 0.500

***

Tm3MnN, relaxed, DFT PBE-GGA; E_form (uncorrected) = -0.56 eV/atom
1.0
-1.144 -0.486 4.538
-4.516 -0.558 -1.198
0.662 -4.647 -0.331
Tm Mn N
3 1 1
Direct
0.000 0.500 0.000
0.000 0.000 0.500
0.500 0.000 0.000
0.500 0.500 0.500
0.000 0.000 0.000

***

UMn2N, relaxed, DFT PBE-GGA; E_form (uncorrected) = 0.11 eV/atom
1.0
-2.711 0.482 1.054
-2.358 -0.650 -1.646
-1.786 -6.282 2.401
Mn U N
2 1 1
Direct
0.117 0.117 0.648
0.883 0.883 0.352
0.000 0.000 0.000
0.500 0.500 0.500

***

UMnN, relaxed, DFT PBE-GGA; E_form (uncorrected) = -0.06 eV/atom
1.0
-0.267 1.622 -3.516
-3.427 -1.739 -0.542
0.469 2.403 3.215
Mn U N
1 1 1
Direct
0.298 0.298 0.596
0.952 0.952 0.903
0.601 0.601 0.201

***

UMn3N, relaxed, DFT PBE-GGA; E_form (uncorrected) = -0.19 eV/atom
1.0
3.898 0.000 0.000
0.000 3.898 0.000
0.000 0.000 3.898
Mn U N
3 1 1
Direct
0.000 0.500 0.000
0.000 0.000 0.500
0.500 0.000 0.000
0.500 0.500 0.500
0.000 0.000 0.000

***

U2MnN3, relaxed, DFT PBE-GGA; E_form (uncorrected) = -1.17 eV/atom
1.0
3.306 0.000 0.000
0.000 3.754 0.000
-1.653 -1.877 6.052
Mn U N
1 2 3
Direct
0.000 0.000 0.000
0.356 0.356 0.712
0.644 0.644 0.288
0.168 0.168 0.336
0.832 0.832 0.664
0.000 0.500 0.000

***

U3Mn5N12, relaxed, DFT PBE-GGA; E_form (uncorrected) = -0.62 eV/atom
1.0
-2.851 8.532 5.401
-7.910 -3.022 -6.196
2.365 -7.739 6.679
U Mn N
12 20 48
Direct
0.750 0.375 0.125
0.875 0.750 0.125
0.375 0.750 0.625
0.250 0.125 0.375
0.875 0.125 0.250
0.375 0.625 0.250
0.625 0.375 0.750
0.125 0.875 0.750
0.750 0.875 0.625
0.625 0.250 0.375
0.125 0.250 0.875
0.250 0.625 0.875
0.125 0.375 0.250
0.000 0.500 0.000
0.000 0.000 0.000
0.375 0.250 0.125
0.500 0.000 0.500
0.500 0.500 0.000
0.125 0.750 0.375
0.750 0.125 0.875
0.750 0.625 0.375
0.375 0.125 0.750
0.625 0.875 0.250
0.500 0.500 0.500
0.500 0.000 0.000
0.000 0.000 0.500
0.250 0.375 0.625
0.250 0.875 0.125
0.000 0.500 0.500
0.875 0.250 0.625
0.625 0.750 0.875
0.875 0.625 0.750
0.709 0.126 0.027
0.318 0.527 0.401
0.973 0.374 0.291
0.527 0.209 0.126
0.583 0.709 0.682
0.973 0.599 0.182
0.318 0.791 0.417
0.099 0.917 0.126
0.599 0.973 0.682
0.709 0.583 0.182
0.791 0.473 0.374
0.818 0.901 0.027
0.126 0.709 0.527
0.374 0.401 0.083
0.083 0.901 0.374
0.417 0.126 0.599
0.083 0.182 0.209
0.473 0.682 0.099
0.818 0.917 0.291
0.126 0.417 0.099
0.374 0.973 0.791
0.599 0.626 0.417
0.901 0.818 0.527
0.791 0.318 0.917
0.401 0.374 0.583
0.099 0.182 0.473
0.209 0.682 0.083
0.182 0.083 0.709
0.626 0.027 0.209
0.874 0.583 0.901
0.527 0.318 0.901
0.583 0.874 0.401
0.917 0.818 0.791
0.917 0.099 0.626
0.874 0.291 0.473
0.182 0.099 0.973
0.626 0.599 0.917
0.401 0.027 0.318
0.291 0.417 0.818
0.209 0.527 0.626
0.901 0.083 0.874
0.682 0.209 0.583
0.473 0.791 0.874
0.027 0.401 0.818
0.417 0.291 0.318
0.027 0.626 0.709
0.682 0.473 0.599
0.291 0.874 0.973

***

MnVN, relaxed, DFT PBE-GGA; E_form (uncorrected) = -0.51 eV/atom
1.0
-0.829 4.099 -1.008
0.386 -0.614 -2.813
-2.639 -0.241 1.190
N Mn V
1 1 1
Direct
0.338 0.667 0.333
0.085 0.000 0.000
0.577 0.333 0.667

***

MnVN2, relaxed, DFT PBE-GGA; E_form (uncorrected) = -0.03 eV/atom
1.0
2.393 2.092 1.664
-0.527 0.962 3.415
2.079 -1.360 2.588
V Mn N
1 1 2
Direct
0.000 0.000 0.000
0.500 0.500 0.500
0.250 0.250 0.250
0.750 0.750 0.750